Entry from Alexandria via LeMat-Bulk: crystalline FeS2F at its relaxed geometry (PBE+U).

```
data_FeS2F
_chemical_formula_sum 'Fe3 S6 F3'
_symmetry_space_group_name_H-M 'R -3 m'
_symmetry_Int_Tables_number 166
_symmetry_space_group_name_Hall '-R 3 2"'
_cell_length_a 3.5786
_cell_length_b 3.5786
_cell_length_c 19.4733
_cell_angle_alpha 90.00
_cell_angle_beta 90.00
_cell_angle_gamma 120.00
loop_
_atom_site_label
_atom_site_type_symbol
_atom_site_fract_x
_atom_site_fract_y
_atom_site_fract_z
Fe1 Fe 0.0000 0.0000 0.0000
S1 S 0.0000 0.0000 0.3964
F1 F 0.0000 0.0000 0.5000
```

Properties
The raw total energy is -4.18 eV per atom. The density of states at the Fermi level is 3.256 states/eV per cell. The value obtained for the density is 3.21 g cm⁻³. The calculation puts the distance to the lowest polymorph of the same formula at 0 meV per atom.